Computed, not measured: an optimized crystal structure of IrBr at the PBE-GGA level of DFT.

```
IrBr
1.0
-3.326 1.318 4.071
0.227 -5.094 1.836
4.273 1.297 3.071
Ir Br
4 4
Direct
0.439 0.939 0.561
0.061 0.061 0.061
0.561 0.439 0.939
0.939 0.561 0.439
0.176 0.676 0.824
0.324 0.324 0.324
0.824 0.176 0.676
0.676 0.824 0.176
```

* ΔE to the lowest computed polymorph: 0.8793 eV per atom